Computed, not measured: an optimized crystal structure of Rb2LiAgBr4 at the PBE level of DFT. Values from VASP.

Properties
* crystal system: monoclinic
* total magnetization: 0.0 μB per formula unit
* formation energy (no corrections): -1.273 eV per atom
* DOS(E_F): 0.00 states/eV per atom
* space-group type: C2/c (15)
* DFT total energy: -0.217 Ry per atom

Quantum ESPRESSO input file:
```
&SYSTEM
  ibrav = 0, nat = 16, ntyp = 4
/
ATOMIC_SPECIES
Rb 85.47 Rb.upf
Li 6.94 Li.upf
Ag 107.87 Ag.upf
Br 79.90 Br.upf
CELL_PARAMETERS angstrom
5.962 -6.811 0.000
5.962 6.811 0.000
-5.805 0.000 6.781
ATOMIC_POSITIONS angstrom
Rb 0.000 0.000 0.000
Rb -2.902 0.000 3.391
Rb 2.981 3.405 0.000
Rb 0.079 -3.405 3.391
Li 5.962 0.000 0.000
Li 3.060 0.000 3.391
Ag 0.079 3.405 3.391
Ag 2.981 -3.405 0.000
Br 2.670 3.330 3.403
Br 3.418 0.041 0.034
Br 0.547 3.330 6.769
Br 0.516 -0.041 3.425
Br 5.604 0.041 3.356
Br 5.573 -3.330 0.013
Br 2.702 -0.041 6.747
Br 3.450 -3.330 3.378
```